Entry 1:
Crystalline La2AlGa2 at its relaxed geometry, computed with PBE.

a b c (Å): 6.209 6.209 10.924
angles (deg): 115.84 115.84 42.69
Fractional coordinates of all 10 atoms:
La  0.000  0.000  0.166
La  0.000  0.000  0.834
La  0.185  0.185  0.604
La  0.815  0.815  0.396
Al  0.291  0.291  0.155
Al  0.709  0.709  0.845
Ga  0.343  0.343  0.936
Ga  0.480  0.480  0.614
Ga  0.520  0.520  0.386
Ga  0.657  0.657  0.064

**Crystal system**: monoclinic



Entry 2:
Crystalline La2AlGa6 at its relaxed geometry, computed with PBE.

a b c (Å): 6.113 6.113 5.802
angles (deg): 90.00 90.00 120.00
Fractional coordinates of all 9 atoms:
La  0.333  0.667  0.346
La  0.667  0.333  0.654
Al  0.000  0.000  0.500
Ga  0.177  0.355  0.836
Ga  0.177  0.823  0.836
Ga  0.355  0.177  0.164
Ga  0.645  0.823  0.836
Ga  0.823  0.177  0.164
Ga  0.823  0.645  0.164

**Crystal system**: trigonal



Entry 3:
Crystalline LaAl2Ga2 at its relaxed geometry, computed with PBE.

a b c (Å): 7.968 7.968 3.314
angles (deg): 90.00 90.00 90.00
Fractional coordinates of all 10 atoms:
La  0.000  0.000  0.000
La  0.500  0.500  0.000
Al  0.158  0.342  0.500
Al  0.342  0.842  0.500
Al  0.658  0.158  0.500
Al  0.842  0.658  0.500
Ga  0.130  0.630  0.000
Ga  0.370  0.130  0.000
Ga  0.630  0.870  0.000
Ga  0.870  0.370  0.000

**Crystal system**: tetragonal



Entry 4:
Crystalline La2AlGa2 at its relaxed geometry, computed with PBE.

a b c (Å): 7.282 7.282 4.766
angles (deg): 90.00 90.00 90.00
Fractional coordinates of all 10 atoms:
La  0.174  0.326  0.000
La  0.326  0.826  0.000
La  0.674  0.174  0.000
La  0.826  0.674  0.000
Al  0.000  0.000  0.500
Al  0.500  0.500  0.500
Ga  0.128  0.628  0.500
Ga  0.372  0.128  0.500
Ga  0.628  0.872  0.500
Ga  0.872  0.372  0.500

**Crystal system**: tetragonal



Entry 5:
Crystalline La3AlGa3 at its relaxed geometry, computed with PBE.

a b c (Å): 6.228 6.228 14.773
angles (deg): 108.58 108.58 42.54
Fractional coordinates of all 14 atoms:
La  0.023  0.023  0.385
La  0.106  0.106  0.922
La  0.243  0.243  0.226
La  0.757  0.757  0.774
La  0.894  0.894  0.078
La  0.977  0.977  0.615
Al  0.269  0.269  0.608
Al  0.731  0.731  0.392
Ga  0.353  0.353  0.456
Ga  0.398  0.398  0.924
Ga  0.466  0.466  0.769
Ga  0.534  0.534  0.231
Ga  0.602  0.602  0.076
Ga  0.647  0.647  0.544

**Crystal system**: monoclinic



Entry 6:
Crystalline LaAl2Ga2 at its relaxed geometry, computed with PBE.

a b c (Å): 6.446 6.446 6.446
angles (deg): 140.85 140.85 56.57
Fractional coordinates of all 5 atoms:
La  0.000  0.000  0.000
Al  0.250  0.750  0.500
Al  0.750  0.250  0.500
Ga  0.386  0.386  0.000
Ga  0.614  0.614  0.000

**Crystal system**: tetragonal



Entry 7:
Crystalline La2AlGa at its relaxed geometry, computed with PBE.

a b c (Å): 4.290 6.241 6.241
angles (deg): 43.12 90.00 90.00
Fractional coordinates of all 4 atoms:
La  0.000  0.000  0.000
La  0.500  0.286  0.286
Al  0.000  0.706  0.706
Ga  0.500  0.574  0.574

**Crystal system**: orthorhombic



Entry 8:
Crystalline La3AlGa at its relaxed geometry, computed with PBE.

a b c (Å): 5.862 5.862 5.862
angles (deg): 90.00 90.00 90.00
Fractional coordinates of all 5 atoms:
La  0.000  0.000  0.500
La  0.000  0.500  0.000
La  0.500  0.000  0.000
Al  0.000  0.000  0.000
Ga  0.500  0.500  0.500

**Crystal system**: cubic



Entry 9:
Crystalline La2Al2Ga at its relaxed geometry, computed with PBE.

a b c (Å): 6.246 6.246 11.528
angles (deg): 116.02 116.02 41.29
Fractional coordinates of all 10 atoms:
La  0.116  0.116  0.408
La  0.287  0.287  0.853
La  0.713  0.713  0.147
La  0.884  0.884  0.592
Al  0.034  0.034  0.910
Al  0.390  0.390  0.384
Al  0.610  0.610  0.616
Al  0.966  0.966  0.090
Ga  0.440  0.440  0.187
Ga  0.560  0.560  0.813

**Crystal system**: monoclinic



Entry 10:
Crystalline LaAlGa3 at its relaxed geometry, computed with PBE.

a b c (Å): 6.086 6.086 6.086
angles (deg): 136.58 136.58 63.08
Fractional coordinates of all 5 atoms:
La  0.000  0.000  0.000
Al  0.629  0.629  0.000
Ga  0.254  0.754  0.500
Ga  0.386  0.386  0.000
Ga  0.754  0.254  0.500

**Crystal system**: tetragonal



Entry 11:
Crystalline La2AlGa10 at its relaxed geometry, computed with PBE.

a b c (Å): 6.057 16.046 6.294
angles (deg): 90.00 98.00 90.00
Fractional coordinates of all 26 atoms:
La  0.081  0.089  0.251
La  0.081  0.411  0.751
La  0.919  0.589  0.249
La  0.919  0.911  0.749
Al  0.500  0.000  0.000
Al  0.500  0.500  0.500
Ga  0.210  0.109  0.777
Ga  0.210  0.391  0.277
Ga  0.216  0.608  0.707
Ga  0.216  0.892  0.207
Ga  0.355  0.536  0.088
Ga  0.355  0.964  0.588
Ga  0.448  0.661  0.393
Ga  0.448  0.839  0.893
Ga  0.473  0.187  0.539
Ga  0.473  0.313  0.039
Ga  0.527  0.687  0.961
Ga  0.527  0.813  0.461
Ga  0.552  0.161  0.107
Ga  0.552  0.339  0.607
Ga  0.645  0.036  0.412
Ga  0.645  0.464  0.912
Ga  0.784  0.108  0.793
Ga  0.784  0.392  0.293
Ga  0.790  0.609  0.723
Ga  0.790  0.891  0.223

**Crystal system**: monoclinic



Entry 12:
Crystalline La5AlGa2 at its relaxed geometry, computed with PBE.

a b c (Å): 9.328 9.328 9.328
angles (deg): 128.53 128.53 75.77
Fractional coordinates of all 16 atoms:
La  0.000  0.000  0.000
La  0.026  0.526  0.852
La  0.175  0.026  0.500
La  0.325  0.825  0.852
La  0.474  0.325  0.500
La  0.500  0.500  0.000
La  0.526  0.675  0.500
La  0.675  0.175  0.148
La  0.825  0.974  0.500
La  0.974  0.474  0.148
Al  0.250  0.250  0.000
Al  0.750  0.750  0.000
Ga  0.115  0.385  0.500
Ga  0.385  0.885  0.269
Ga  0.615  0.115  0.731
Ga  0.885  0.615  0.500

**Crystal system**: tetragonal



Entry 13:
Crystalline LaAlGa3 at its relaxed geometry, computed with PBE.

a b c (Å): 5.719 5.719 5.719
angles (deg): 90.00 90.00 90.00
Fractional coordinates of all 5 atoms:
La  0.000  0.000  0.000
Al  0.500  0.500  0.500
Ga  0.000  0.000  0.500
Ga  0.000  0.500  0.000
Ga  0.500  0.000  0.000

**Crystal system**: cubic



Entry 14:
Crystalline La5AlGa4 at its relaxed geometry, computed with PBE.

a b c (Å): 3.773 3.773 18.947
angles (deg): 90.00 90.00 90.00
Fractional coordinates of all 10 atoms:
La  0.000  0.000  0.000
La  0.000  0.000  0.199
La  0.000  0.000  0.398
La  0.000  0.000  0.602
La  0.000  0.000  0.801
Al  0.500  0.500  0.500
Ga  0.500  0.500  0.100
Ga  0.500  0.500  0.299
Ga  0.500  0.500  0.701
Ga  0.500  0.500  0.900

**Crystal system**: tetragonal



Entry 15:
Crystalline La3AlGa at its relaxed geometry, computed with PBE.

a b c (Å): 8.535 8.535 5.019
angles (deg): 90.00 90.00 120.00
Fractional coordinates of all 10 atoms:
La  0.196  0.393  0.250
La  0.196  0.804  0.250
La  0.393  0.196  0.750
La  0.607  0.804  0.250
La  0.804  0.196  0.750
La  0.804  0.607  0.750
Al  0.000  0.000  0.000
Al  0.000  0.000  0.500
Ga  0.333  0.667  0.750
Ga  0.667  0.333  0.250

**Crystal system**: hexagonal



Entry 16:
Crystalline LaAl4Ga at its relaxed geometry, computed with PBE.

a b c (Å): 5.625 5.625 5.625
angles (deg): 60.00 60.00 60.00
Fractional coordinates of all 6 atoms:
La  0.000  0.000  0.000
Al  0.375  0.375  0.375
Al  0.375  0.375  0.874
Al  0.375  0.874  0.375
Al  0.874  0.375  0.375
Ga  0.750  0.750  0.750

**Crystal system**: cubic



Entry 17:
Crystalline LaAl6Ga2 at its relaxed geometry, computed with PBE.

a b c (Å): 4.173 4.173 9.736
angles (deg): 90.00 90.00 90.00
Fractional coordinates of all 9 atoms:
La  0.000  0.000  0.000
Al  0.000  0.000  0.500
Al  0.000  0.500  0.296
Al  0.000  0.500  0.704
Al  0.500  0.000  0.296
Al  0.500  0.000  0.704
Al  0.500  0.500  0.500
Ga  0.500  0.500  0.129
Ga  0.500  0.500  0.871

**Crystal system**: tetragonal



Entry 18:
Crystalline LaAlGa2 at its relaxed geometry, computed with PBE.

a b c (Å): 9.497 9.497 9.497
angles (deg): 150.86 150.86 41.67
Fractional coordinates of all 8 atoms:
La  0.000  0.000  0.000
La  0.750  0.250  0.500
Al  0.250  0.750  0.500
Al  0.500  0.500  0.000
Ga  0.270  0.625  0.145
Ga  0.375  0.520  0.645
Ga  0.480  0.125  0.855
Ga  0.875  0.730  0.355

**Crystal system**: tetragonal



Entry 19:
Crystalline La3Al3Ga2 at its relaxed geometry, computed with PBE.

a b c (Å): 6.270 6.270 16.276
angles (deg): 90.00 90.00 139.56
Fractional coordinates of all 16 atoms:
La  0.056  0.944  0.750
La  0.354  0.646  0.594
La  0.354  0.646  0.906
La  0.646  0.354  0.094
La  0.646  0.354  0.406
La  0.944  0.056  0.250
Al  0.078  0.922  0.554
Al  0.078  0.922  0.946
Al  0.221  0.779  0.250
Al  0.779  0.221  0.750
Al  0.922  0.078  0.054
Al  0.922  0.078  0.446
Ga  0.351  0.649  0.117
Ga  0.351  0.649  0.383
Ga  0.649  0.351  0.617
Ga  0.649  0.351  0.883

**Crystal system**: orthorhombic



Entry 20:
Crystalline La2Al3Ga6 at its relaxed geometry, computed with PBE.

a b c (Å): 7.690 7.690 4.027
angles (deg): 90.00 90.00 100.10
Fractional coordinates of all 11 atoms:
La  0.208  0.792  0.000
La  0.792  0.208  0.000
Al  0.300  0.300  0.000
Al  0.500  0.500  0.500
Al  0.700  0.700  0.000
Ga  0.120  0.120  0.500
Ga  0.145  0.453  0.500
Ga  0.453  0.145  0.500
Ga  0.547  0.855  0.500
Ga  0.855  0.547  0.500
Ga  0.880  0.880  0.500

**Crystal system**: orthorhombic



Number 1: ΔE_f -591 meV per atom. Number 2: ΔE_f -545 meV per atom. Number 3: ΔE_f -231 meV per atom. Number 4: ΔE_f -550 meV per atom. Number 5: ΔE_f -592 meV per atom. Number 6: ΔE_f -494 meV per atom. Number 7: ΔE_f -482 meV per atom. Number 8: ΔE_f 248 meV per atom. Number 9: ΔE_f -492 meV per atom. Number 10: ΔE_f -464 meV per atom. Number 11: ΔE_f -232 meV per atom. Number 12: ΔE_f -399 meV per atom. Number 13: ΔE_f 910 meV per atom. Number 14: ΔE_f -527 meV per atom. Number 15: ΔE_f -195 meV per atom. Number 16: ΔE_f -158 meV per atom. Number 17: ΔE_f -229 meV per atom. Number 18: ΔE_f -241 meV per atom. Number 19: ΔE_f -523 meV per atom. Number 20: ΔE_f -341 meV per atom.